An optimized crystal structure of SrMg2InAu4, computed with PBE.

The structure in POSCAR format:
```
SrMg2InAu4
1.0
-3.454 0.004 -3.181
-4.186 -1.832 1.078
-5.402 7.744 2.409
Au Sr Mg In
4 1 2 1
Cartesian
-8.698 1.266 -0.951
-7.394 5.511 1.104
-4.344 4.649 1.257
-5.648 0.404 -0.798
0.000 0.000 0.000
-3.367 1.791 0.193
-9.675 4.124 0.113
-6.521 2.958 0.153
```

Values from the calculation:
Calculated total energy   -3.102 eV/atom
Crystal system   trigonal
Formation energy from the elements   -0.512 eV/atom



An optimized crystal structure of LiNd5Hg4, computed with PBE.

The structure in POSCAR format:
```
LiNd5Hg4
1.0
3.863 0.000 0.000
0.000 3.863 0.000
0.000 0.000 18.855
Hg Nd Li
4 5 1
Cartesian
0.000 0.000 3.670
0.000 0.000 11.339
0.000 0.000 7.516
0.000 0.000 15.186
1.931 1.931 9.428
1.931 1.931 16.957
1.931 1.931 13.207
1.931 1.931 5.648
1.931 1.931 1.899
0.000 0.000 0.000
```

Values from the calculation:
Calculated total energy   -3.059 eV/atom
Crystal system   tetragonal
Formation energy from the elements   -0.363 eV/atom



Size of the total moment
In order: 0.000, 1.840
Unit: μB/cell